# 1
## GaNi3B (PBE)

Data for a geometry-optimized GaNi3B structure. Values from VASP.

**Space group**: No. 221
**Offset from the most stable computed form**: 41.86 kcal/mol of atoms
**ΔE_f**: 1528 meV per atom

Structure (Quantum ESPRESSO input):
```
&SYSTEM
  ibrav = 0, nat = 5, ntyp = 3
/
ATOMIC_SPECIES
Ga 69.72 Ga.upf
B 10.81 B.upf
Ni 58.69 Ni.upf
ATOMIC_POSITIONS angstrom
Ga 0.000 0.000 0.000
B 2.132 2.132 2.132
Ni 2.132 0.000 0.000
Ni 0.000 2.132 0.000
Ni 0.000 0.000 2.132
CELL_PARAMETERS angstrom
4.263 0.000 0.000
0.000 4.263 0.000
0.000 0.000 4.263
```



# 2
## Li2Sn2I7 (PBE)

Data for a geometry-optimized Li2Sn2I7 structure. Values from VASP.

**Space group**: No. 12
**Formation energy without anion corrections**: -0.61 eV/atom

Structure (Quantum ESPRESSO input):
```
&SYSTEM
  ibrav = 0, nat = 11, ntyp = 3
/
ATOMIC_SPECIES
Sn 118.71 Sn.upf
I 126.90 I.upf
Li 6.94 Li.upf
ATOMIC_POSITIONS angstrom
Sn -3.265 -2.222 5.005
I -6.008 1.893 1.780
Li -0.605 1.011 6.300
I -1.828 0.341 3.697
I -1.342 -1.530 7.380
I -5.523 0.022 5.462
I 0.000 0.000 0.000
I -2.182 3.384 6.512
I -5.169 -3.020 2.648
Li -6.746 -0.647 2.859
Sn -4.086 2.586 4.155
CELL_PARAMETERS angstrom
-7.723 -1.255 0.365
1.318 -5.815 5.569
-0.946 7.434 3.226
```



# 3
## RbTlCl2 (PBE)

Data for a geometry-optimized RbTlCl2 structure. Values from VASP.

**Space group**: No. 166
**Offset from the most stable computed form**: 6.59 kcal/mol of atoms
**Formation energy without anion corrections**: -1.19 eV/atom

Structure (Quantum ESPRESSO input):
```
&SYSTEM
  ibrav = 0, nat = 4, ntyp = 3
/
ATOMIC_SPECIES
Tl 204.38 Tl.upf
Cl 35.45 Cl.upf
Rb 85.47 Rb.upf
ATOMIC_POSITIONS angstrom
Tl 0.000 0.000 13.945
Cl 0.000 0.000 24.926
Cl 0.000 0.000 2.965
Rb 0.000 0.000 0.000
CELL_PARAMETERS angstrom
2.854 0.000 9.297
-1.427 2.471 9.297
-1.427 -2.471 9.297
```